A relaxed structure of KHfSc3, computed with GGA-PBE.

```
KHfSc3
1.0
4.938 0.000 0.000
0.000 4.938 0.000
0.000 0.000 4.938
K Hf Sc
1 1 3
Cartesian
0.000 0.000 0.000
2.469 2.469 2.469
0.000 0.000 2.469
0.000 2.469 0.000
2.469 0.000 0.000
```

The value obtained for the energy above the most stable polymorph in this dataset is 2.92 eV per formula unit. The formation energy is 1.349 eV per atom. The energy comes out at -4.66 eV/atom.

---

A relaxed structure of LaPr3Cu2, computed with GGA-PBE.

```
LaPr3Cu2
1.0
5.088 0.000 0.000
0.000 9.147 0.000
0.000 0.000 7.205
La Pr Cu
2 6 4
Cartesian
0.000 0.725 0.000
0.000 8.422 3.602
0.000 3.118 4.567
0.000 6.029 0.964
2.544 1.461 2.547
2.544 3.883 7.095
2.544 5.264 3.493
2.544 7.686 6.149
0.000 3.177 1.673
0.000 5.970 5.276
2.544 1.424 5.438
2.544 7.723 1.836
```

The formation energy is -0.088 eV per atom. The energy comes out at -4.66 eV/atom.

---

A relaxed structure of In2CuP2, computed with GGA-PBE.

```
In2CuP2
1.0
7.102 0.000 0.000
0.000 7.102 0.000
0.000 0.000 4.011
In Cu P
4 2 4
Cartesian
1.016 2.535 0.000
2.535 6.085 0.000
4.567 1.016 0.000
6.085 4.567 0.000
0.000 0.000 2.006
3.551 3.551 2.006
1.355 4.905 2.006
2.196 1.355 2.006
4.905 5.747 2.006
5.747 2.196 2.006
```

The value obtained for the energy above the most stable polymorph in this dataset is 0.19 eV per formula unit. The formation energy is 0.254 eV per atom. The energy comes out at -3.82 eV/atom.

---

A relaxed structure of Ti2MoS, computed with GGA-PBE.

```
Ti2MoS
1.0
1.601 0.924 7.186
-1.601 0.924 7.186
0.000 -1.849 7.186
Ti Mo S
2 1 1
Cartesian
0.000 0.000 5.238
0.000 0.000 16.321
0.000 0.000 0.000
0.000 0.000 10.780
```

The formation energy from raw total energies is -0.593 eV/atom. The energy comes out at -8.28 eV/atom.

---

A relaxed structure of MnCoAs2Pd, computed with GGA-PBE.

```
MnCoAs2Pd
1.0
4.462 0.000 0.000
0.000 4.462 0.000
0.000 0.000 4.455
Mn Co As Pd
1 1 2 1
Cartesian
0.000 0.000 0.000
0.000 0.000 2.228
0.000 2.231 0.000
2.231 0.000 0.000
2.231 2.231 2.228
```

The formation energy is 0.620 eV per atom. The energy comes out at -5.53 eV/atom.

---

A relaxed structure of RbInI3, computed with GGA-PBE.

```
RbInI3
1.0
6.830 0.000 0.000
0.000 6.830 0.000
0.000 0.000 6.830
Rb In I
1 1 3
Cartesian
0.000 0.000 0.000
3.415 3.415 3.415
0.000 0.000 3.415
0.000 3.415 0.000
3.415 0.000 0.000
```

The formation energy from raw total energies is -0.315 eV/atom. The energy comes out at -1.99 eV/atom.